[1]
KInSi: relaxed, GGA-PBE.

Results
* formation energy (no corrections): 0.335 eV/atom

Cell: 3.5193 3.5193 7.8098 Å, 90.00 90.00 120.00°
Sites, in units of the cell vectors:
In 0.0000 0.0000 0.9605
K 0.6667 0.3333 0.3477
Si 0.3333 0.6667 0.6918

[2]
K2InSi: relaxed, GGA-PBE.

Results
* excess energy over the best structure of this formula in the dataset: 287.8 meV per atom
* formation energy (no corrections): 0.342 eV/atom

Cell: 5.5145 3.5935 7.1643 Å, 60.23 90.00 90.00°
Sites, in units of the cell vectors:
In 0.5000 0.7500 0.7500
K 0.0000 0.9912 0.0120
K 0.0000 0.5088 0.4880
Si 0.5000 0.2500 0.2500

[3]
KIn2Si: relaxed, GGA-PBE.

Results
* formation energy (no corrections): 0.276 eV/atom

Cell: 10.3396 10.3396 10.3396 Å, 19.85 19.85 19.85°
Sites, in units of the cell vectors:
In 0.0092 0.0092 0.0092
In 0.2594 0.2594 0.2594
K 0.4926 0.4926 0.4926
Si 0.7388 0.7388 0.7388

> Which formula does entry 1 have?

KInSi

> Number 3 is which compound?

KIn2Si

Copy entry 2 word for word.
K2InSi: relaxed, GGA-PBE.

Results
* excess energy over the best structure of this formula in the dataset: 287.8 meV per atom
* formation energy (no corrections): 0.342 eV/atom

Cell: 5.5145 3.5935 7.1643 Å, 60.23 90.00 90.00°
Sites, in units of the cell vectors:
In 0.5000 0.7500 0.7500
K 0.0000 0.9912 0.0120
K 0.0000 0.5088 0.4880
Si 0.5000 0.2500 0.2500

> formation energy (no corrections) of number 1 (KInSi)?

0.335 eV/atom